Record 1
KCuBi2Cl8 after structural relaxation. Source: the Alexandria database, functional PBE.

a = 6.8466 Å, b = 8.1470 Å, c = 8.3744 Å
α = 98.54°, β = 89.43°, γ = 65.86°
With the nearest neighbours (Å) after each atom.
Fractional positions:
K: 0.0000 0.0000 0.5000  6 Cl 3.10-3.36
Cu: 0.0000 0.0000 0.0000  2 Cl 2.12
Bi: 0.5005 0.5218 0.7575  4 Cl 2.55-2.84
Bi: 0.4995 0.4782 0.2425  4 Cl 2.55-2.84
Cl: 0.0910 0.6376 0.2687  1 Bi 2.55
Cl: 0.5372 0.7101 0.0616  2 Bi 2.68-2.84
Cl: 0.9550 0.2060 0.2016  1 Cu 2.12
Cl: 0.9090 0.3624 0.7313  1 Bi 2.55
Cl: 0.4628 0.2899 0.9384  2 Bi 2.68-2.84
Cl: 0.0450 0.7940 0.7984  1 Cu 2.12
Cl: 0.5213 0.7175 0.4983  2 Bi 2.72-2.91
Cl: 0.4787 0.2825 0.5017  2 Bi 2.72-2.91

=====

Record 2
NaCuBiCl5 after structural relaxation. Source: the Alexandria database, functional PBE.

a = 7.2366 Å, b = 7.2366 Å, c = 9.8937 Å
α = 103.12°, β = 103.12°, γ = 109.09°
With the nearest neighbours (Å) after each atom.
Fractional positions:
Na: 0.3720 0.6280 0.2500  5 Cl 2.86-3.13
Na: 0.6280 0.3720 0.7500  5 Cl 2.86-3.13
Cu: 0.6898 0.3102 0.2500  4 Cl 2.32-2.33
Cu: 0.3102 0.6898 0.7500  4 Cl 2.32-2.33
Bi: 0.0000 0.0000 0.5000  6 Cl 2.73-2.77
Bi: 0.0000 0.0000 0.0000  6 Cl 2.73-2.77
Cl: 0.1061 0.8939 0.2500  2 Bi 2.77
Cl: 0.8939 0.1061 0.7500  2 Bi 2.77
Cl: 0.9499 0.3400 0.1456  1 Cu 2.32
Cl: 0.0501 0.6600 0.8544  1 Cu 2.32
Cl: 0.6600 0.0501 0.3544  1 Cu 2.32
Cl: 0.3400 0.9499 0.6456  1 Cu 2.32
Cl: 0.7280 0.5988 0.4336  1 Cu 2.33
Cl: 0.2720 0.4012 0.5664  1 Cu 2.33
Cl: 0.4012 0.2720 0.0664  1 Cu 2.33
Cl: 0.5988 0.7280 0.9336  1 Cu 2.33

=====

Size of the total moment (computed, μB per formula unit): 0.177, 0.134
Total DFT energy (no corrections) (computed, eV/atom): -3.36, -3.35
Formation energy without anion corrections (computed, eV/atom): -1.05, -1.04